A relaxed Mn2TlTe2O6 crystal. Source: Alexandria via LeMat-Bulk, functional PBE+U.

Properties
The calculated volume comes out at 192 Å³ per cell. The calculation puts the total energy at -64.8 eV per cell. The calculation puts the total magnetic moment at 0.82 μB/atom.

Cell: 6.016 7.185 7.072 Å, 131.99 103.54 59.15°
Each line ends with the local moment (μB).
Positions (direct):
Mn1 0.869 0.335 0.770  4.33
Mn2 0.131 0.665 0.230  4.33
Tl1 0.500 0.000 0.500  0.01
Te1 0.169 0.704 0.758  0.04
Te2 0.831 0.296 0.242  0.04
O1 0.488 0.672 0.890  0.01
O2 0.909 0.456 0.121  -0.02
O3 0.120 0.909 0.620  -0.07
O4 0.091 0.544 0.879  -0.02
O5 0.880 0.091 0.380  -0.07
O6 0.512 0.328 0.110  0.01